(1)
DFT (meta-GGA SCAN) results for a crystal of Ga2FeAgCl relaxed with PBEsol.

Computed properties:
The total magnetic moment comes out at 3.78 μB per formula unit. The space group is No. 123. The calculation puts the formation energy from raw total energies at 0.77 eV/atom.

a = 4.891 Å, b = 4.891 Å, c = 4.991 Å
α = 90.00°, β = 90.00°, γ = 90.00°
Each line ends with the local moment (μB).
Sites, in units of the cell vectors:
Fe 0.500 0.500 0.500  3.58
Ga 0.500 0.000 0.000  -0.01
Ga 0.000 0.500 0.000  -0.01
Ag 0.000 0.000 0.000  0.02
Cl 0.000 0.000 0.500  0.03

(2)
DFT (meta-GGA SCAN) results for a crystal of YFe2AgCl relaxed with PBEsol.

Computed properties:
The total magnetic moment comes out at 5.23 μB per formula unit. The space group is No. 123. The calculation puts the formation energy from raw total energies at 1.00 eV/atom.

a = 4.994 Å, b = 4.803 Å, c = 4.803 Å
α = 90.00°, β = 90.00°, γ = 90.00°
Each line ends with the local moment (μB).
Sites, in units of the cell vectors:
Ag 0.500 0.500 0.500  -0.08
Fe 0.000 0.500 0.000  2.76
Fe 0.000 0.000 0.500  2.76
Y 0.000 0.000 0.000  -0.27
Cl 0.500 0.000 0.000  -0.01

(3)
DFT (meta-GGA SCAN) results for a crystal of K2GaAgCl6 relaxed with PBEsol.

Computed properties:
The total magnetic moment comes out at 0.00 μB per formula unit. The space group is No. 225. The calculation puts the formation energy from raw total energies at -1.47 eV/atom.

a = 7.055 Å, b = 7.055 Å, c = 7.055 Å
α = 60.00°, β = 60.00°, γ = 60.00°
Sites, in units of the cell vectors:
Cl 0.238 0.238 0.762
Cl 0.762 0.238 0.238
Cl 0.238 0.762 0.762
Cl 0.762 0.762 0.238
Cl 0.762 0.238 0.762
Cl 0.238 0.762 0.238
K 0.750 0.750 0.750
K 0.250 0.250 0.250
Ga 0.000 0.000 0.000
Ag 0.500 0.500 0.500